# La2NiPt

A relaxed structure of La2NiPt (PBE, Alexandria via LeMat-Bulk).

```
La2NiPt
1.0
3.6217 0.0000 0.0000
0.0000 3.6215 0.0000
0.0000 0.0000 7.1876
Pt Ni La
1 1 2
Direct
0.5000 0.5000 0.7500
0.5000 0.5000 0.2500
0.0000 0.0000 0.4948
0.0000 0.0000 0.0052
```

## Properties
Symmetry   No. 123
Total magnetic moment   0.0 μB per cell
E_form   -2.6 eV per formula unit
Crystal system   tetragonal
DOS(E_F)   0.8546 states/eV/atom
Density   9364 kg/m3

=====

# TbHo5TlIn2

A relaxed structure of TbHo5TlIn2 (PBE, Alexandria via LeMat-Bulk).

```
TbHo5TlIn2
1.0
8.5145 0.0000 0.0000
0.0000 8.5145 0.0000
-4.2573 -4.2573 7.1465
In Ho Tl Tb
4 10 2 2
Direct
0.3893 0.8893 0.0000
0.6107 0.1107 0.0000
0.8893 0.6107 0.0000
0.1107 0.3893 0.0000
0.8434 0.9240 0.2674
0.5760 0.6566 0.7326
0.0000 0.0000 0.0000
0.5000 0.5000 0.0000
0.6566 0.1566 0.7326
0.3434 0.8434 0.2674
0.4240 0.3434 0.2674
0.1566 0.0760 0.7326
0.0760 0.5760 0.7326
0.9240 0.4240 0.2674
0.2500 0.2500 0.5000
0.7500 0.7500 0.5000
0.2500 0.7500 0.5000
0.7500 0.2500 0.5000
```

## Properties
Symmetry   No. 140
Total magnetic moment   0.0 μB per cell
E_form   -0.3 eV per formula unit
Crystal system   tetragonal
DOS(E_F)   0.8544 states/eV/atom
Density   9087 kg/m3

=====

# Sm2CdAg6

A relaxed structure of Sm2CdAg6 (PBE, Alexandria via LeMat-Bulk).

```
Sm2CdAg6
1.0
-0.6914 5.3470 2.3133
-3.2421 -2.4737 4.7621
2.9745 -1.8580 5.1970
Ag Cd Sm
6 1 2
Direct
0.3300 0.3669 0.8167
0.6703 0.1838 0.1838
0.6700 0.1833 0.6331
0.3297 0.8162 0.8162
0.3300 0.8167 0.3669
0.6700 0.6331 0.1833
0.0000 0.0000 0.0000
0.1571 0.3335 0.3335
0.8429 0.6665 0.6665
```

## Properties
Symmetry   No. 12
Total magnetic moment   0.0 μB per cell
E_form   -1.5 eV per formula unit
Crystal system   monoclinic
DOS(E_F)   0.5190 states/eV/atom
Density   8823 kg/m3

=====

# SiClO

A relaxed structure of SiClO (PBE, Alexandria via LeMat-Bulk).

```
SiClO
1.0
2.9472 0.0000 0.0000
0.0000 7.0061 0.5872
0.0000 -0.6551 4.8856
Cl O Si
2 2 2
Direct
0.2500 0.3055 0.2337
0.7500 0.6945 0.7663
0.7500 0.0916 0.6383
0.2500 0.9084 0.3617
0.2500 0.9494 0.7319
0.7500 0.0506 0.2681
```

## Properties
Symmetry   No. 11
Total magnetic moment   0.0 μB per cell
Crystal system   monoclinic
DOS(E_F)   0.2732 states/eV/atom
Formation energy without anion corrections   -1.18 eV per atom
Density   2589 kg/m3

=====

# Pm12PrTm5

A relaxed structure of Pm12PrTm5 (PBE, Alexandria via LeMat-Bulk).

```
Pm12PrTm5
1.0
-0.7379 -6.8948 10.0336
-0.7834 -10.4026 0.2069
5.7774 -0.4314 0.1260
Pm Tm Pr
12 5 1
Direct
0.1713 0.3589 0.5041
0.5302 0.6411 0.5041
0.9705 0.3588 0.0039
0.4698 0.3589 0.4959
0.2034 0.0000 0.4545
0.8287 0.6411 0.4959
0.6951 0.0000 0.0434
0.7966 0.0000 0.5455
0.0295 0.6412 0.9961
0.3049 0.0000 0.9566
0.6706 0.3588 0.9961
0.3294 0.6412 0.0039
0.6371 0.7257 0.0000
0.5000 0.0000 0.5000
0.8623 0.2754 0.5000
0.3629 0.2743 0.0000
0.1377 0.7246 0.5000
0.0000 0.0000 0.0000
```

## Properties
Symmetry   No. 12
Total magnetic moment   0.0 μB per cell
E_form   1.5 eV per formula unit
Crystal system   monoclinic
DOS(E_F)   1.4573 states/eV/atom
Density   7563 kg/m3

=====

# Pr2LuP

A relaxed structure of Pr2LuP (PBE, Alexandria via LeMat-Bulk).

```
Pr2LuP
1.0
-2.6499 -0.9593 2.6530
-3.5904 -0.9362 -1.1014
0.7229 -10.4839 -0.2456
P Lu Pr
1 1 2
Direct
0.5000 0.5000 0.5000
0.0000 0.0000 0.0000
0.8889 0.8889 0.3334
0.1111 0.1111 0.6666
```

## Properties
Symmetry   No. 166
Total magnetic moment   0.0 μB per cell
E_form   -1.7 eV per formula unit
Crystal system   trigonal
DOS(E_F)   1.2851 states/eV/atom
Density   6078 kg/m3

=====

Q: Which of these has the lowest density?
A: SiClO

=====

Please write out number 2 again, unchanged.
# TbHo5TlIn2

A relaxed structure of TbHo5TlIn2 (PBE, Alexandria via LeMat-Bulk).

```
TbHo5TlIn2
1.0
8.5145 0.0000 0.0000
0.0000 8.5145 0.0000
-4.2573 -4.2573 7.1465
In Ho Tl Tb
4 10 2 2
Direct
0.3893 0.8893 0.0000
0.6107 0.1107 0.0000
0.8893 0.6107 0.0000
0.1107 0.3893 0.0000
0.8434 0.9240 0.2674
0.5760 0.6566 0.7326
0.0000 0.0000 0.0000
0.5000 0.5000 0.0000
0.6566 0.1566 0.7326
0.3434 0.8434 0.2674
0.4240 0.3434 0.2674
0.1566 0.0760 0.7326
0.0760 0.5760 0.7326
0.9240 0.4240 0.2674
0.2500 0.2500 0.5000
0.7500 0.7500 0.5000
0.2500 0.7500 0.5000
0.7500 0.2500 0.5000
```

## Properties
Symmetry   No. 140
Total magnetic moment   0.0 μB per cell
E_form   -0.3 eV per formula unit
Crystal system   tetragonal
DOS(E_F)   0.8544 states/eV/atom
Density   9087 kg/m3

=====

Q: Among the records above, which one has the highest density?
A: La2NiPt

=====

Q: The lowest DOS(E_F) belongs to which entry?
A: SiClO